<A>
The following is a DFT calculation (PBE) of Y2BO after structural relaxation.

The density of states at the Fermi level is 0.65 states/eV/atom. The value obtained for the total magnetic moment is 1.011 μB per formula unit. The crystal system is cubic.

a = 6.330 Å, b = 6.330 Å, c = 6.330 Å
α = 90.00°, β = 90.00°, γ = 90.00°
Space group Fm-3m (No. 225)
Inequivalent atoms, fractional coordinates:
Y  0.250  0.250  0.250 (multiplicity 8)
B  0.000  0.000  0.000 (multiplicity 4)
O  0.000  0.000  0.500 (multiplicity 4)



<B>
The following is a DFT calculation (PBE) of Y2BO after structural relaxation.

The density of states at the Fermi level is 0.58 states/eV/atom. The value obtained for the total magnetic moment is 0.000 μB per formula unit. The crystal system is tetragonal.

a = 5.434 Å, b = 5.434 Å, c = 11.111 Å
α = 90.00°, β = 90.00°, γ = 90.00°
Space group I-42d (No. 122)
Inequivalent atoms, fractional coordinates:
Y  0.218  0.250  0.125 (multiplicity 8)
B  0.000  0.000  0.500 (multiplicity 4)
O  0.000  0.000  0.000 (multiplicity 4)



Top of the stability list: <B>, leading by 536 meV per atom.



<A>
The following is a DFT calculation (PBE) of Zr2BO after structural relaxation.

The density of states at the Fermi level is 0.74 states/eV/atom. The value obtained for the total magnetic moment is 0.000 μB per formula unit. The crystal system is trigonal.

a = 3.3146 Å, b = 3.3146 Å, c = 17.5350 Å
α = 90.00°, β = 90.00°, γ = 120.00°
Space group R3m (No. 160, hexagonal axes)
Inequivalent atoms, fractional coordinates:
Zr  0.0000  0.0000  0.0000 (multiplicity 3)
Zr  0.0000  0.0000  0.1787 (multiplicity 3)
B  0.0000  0.0000  0.5882 (multiplicity 3)
O  0.0000  0.0000  0.7591 (multiplicity 3)



<B>
The following is a DFT calculation (PBE) of Zr2BO after structural relaxation.

The density of states at the Fermi level is 0.49 states/eV/atom. The value obtained for the total magnetic moment is 0.000 μB per formula unit. The crystal system is cubic.

a = 5.950 Å, b = 5.950 Å, c = 5.950 Å
α = 90.00°, β = 90.00°, γ = 90.00°
Space group Fm-3m (No. 225)
Inequivalent atoms, fractional coordinates:
Zr  0.250  0.250  0.250 (multiplicity 8)
B  0.000  0.000  0.000 (multiplicity 4)
O  0.000  0.000  0.500 (multiplicity 4)



<C>
The following is a DFT calculation (PBE) of Zr2BO after structural relaxation.

The density of states at the Fermi level is 0.47 states/eV/atom. The value obtained for the total magnetic moment is 0.000 μB per formula unit. The crystal system is tetragonal.

a = 5.038 Å, b = 5.038 Å, c = 10.584 Å
α = 90.00°, β = 90.00°, γ = 90.00°
Space group I-42d (No. 122)
Inequivalent atoms, fractional coordinates:
Zr  0.234  0.250  0.125 (multiplicity 8)
B  0.000  0.000  0.500 (multiplicity 4)
O  0.000  0.000  0.000 (multiplicity 4)



Top of the stability list: <A>, leading by 245 meV per atom.



<A>
The following is a DFT calculation (PBE) of ZrB3O after structural relaxation.

The density of states at the Fermi level is 1.24 states/eV/atom. The value obtained for the total magnetic moment is 1.808 μB per formula unit. The crystal system is cubic.

a = 4.571 Å, b = 4.571 Å, c = 4.571 Å
α = 90.00°, β = 90.00°, γ = 90.00°
Space group Pm-3m (No. 221)
Inequivalent atoms, fractional coordinates:
Zr  0.000  0.000  0.000 (multiplicity 1)
B  0.000  0.000  0.500 (multiplicity 3)
O  0.500  0.500  0.500 (multiplicity 1)



<B>
The following is a DFT calculation (PBE) of ZrB3O after structural relaxation.

The density of states at the Fermi level is 0.79 states/eV/atom. The value obtained for the total magnetic moment is 0.000 μB per formula unit. The crystal system is cubic.

a = 3.698 Å, b = 3.698 Å, c = 3.698 Å
α = 90.00°, β = 90.00°, γ = 90.00°
Space group Pm-3m (No. 221)
Inequivalent atoms, fractional coordinates:
Zr  0.000  0.000  0.000 (multiplicity 1)
B  0.000  0.500  0.500 (multiplicity 3)
O  0.500  0.500  0.500 (multiplicity 1)



Top of the stability list: <B>, leading by 1535 meV per atom.



<A>
The following is a DFT calculation (PBE) of BP3Os after structural relaxation.

The density of states at the Fermi level is 0.82 states/eV/atom. The value obtained for the total magnetic moment is 0.000 μB per formula unit. The crystal system is cubic.

a = 4.591 Å, b = 4.591 Å, c = 4.591 Å
α = 90.00°, β = 90.00°, γ = 90.00°
Space group Pm-3m (No. 221)
Inequivalent atoms, fractional coordinates:
B  0.000  0.000  0.000 (multiplicity 1)
P  0.000  0.500  0.500 (multiplicity 3)
Os  0.500  0.500  0.500 (multiplicity 1)



<B>
The following is a DFT calculation (PBE) of BP3Os after structural relaxation.

The density of states at the Fermi level is 0.63 states/eV/atom. The value obtained for the total magnetic moment is 0.000 μB per formula unit. The crystal system is cubic.

a = 3.988 Å, b = 3.988 Å, c = 3.988 Å
α = 90.00°, β = 90.00°, γ = 90.00°
Space group Pm-3m (No. 221)
Inequivalent atoms, fractional coordinates:
B  0.000  0.000  0.000 (multiplicity 1)
P  0.000  0.000  0.500 (multiplicity 3)
Os  0.500  0.500  0.500 (multiplicity 1)



Top of the stability list: <B>, leading by 566 meV per atom.



<A>
The following is a DFT calculation (PBE) of BTePOs2 after structural relaxation.

The density of states at the Fermi level is 0.86 states/eV/atom. The value obtained for the total magnetic moment is 0.397 μB per formula unit. The crystal system is tetragonal.

a = 4.916 Å, b = 4.916 Å, c = 4.151 Å
α = 90.00°, β = 90.00°, γ = 90.00°
Space group P4/mmm (No. 123)
Inequivalent atoms, fractional coordinates:
B  0.000  0.000  0.000 (multiplicity 1)
Te  0.000  0.000  0.500 (multiplicity 1)
P  0.500  0.500  0.000 (multiplicity 1)
Os  0.000  0.500  0.500 (multiplicity 2)



<B>
The following is a DFT calculation (PBE) of BTePOs2 after structural relaxation.

The density of states at the Fermi level is 0.58 states/eV/atom. The value obtained for the total magnetic moment is 0.000 μB per formula unit. The crystal system is tetragonal.

a = 4.623 Å, b = 4.623 Å, c = 3.712 Å
α = 90.00°, β = 90.00°, γ = 90.00°
Space group P4/mmm (No. 123)
Inequivalent atoms, fractional coordinates:
B  0.000  0.000  0.000 (multiplicity 1)
Te  0.500  0.500  0.000 (multiplicity 1)
P  0.000  0.000  0.500 (multiplicity 1)
Os  0.000  0.500  0.500 (multiplicity 2)



Top of the stability list: <B>, leading by 1412 meV per atom.



<A>
The following is a DFT calculation (PBE) of B3OsPb after structural relaxation.

The density of states at the Fermi level is 0.69 states/eV/atom. The value obtained for the total magnetic moment is 0.000 μB per formula unit. The crystal system is cubic.

a = 4.220 Å, b = 4.220 Å, c = 4.220 Å
α = 90.00°, β = 90.00°, γ = 90.00°
Space group Pm-3m (No. 221)
Inequivalent atoms, fractional coordinates:
B  0.000  0.000  0.500 (multiplicity 3)
Os  0.000  0.000  0.000 (multiplicity 1)
Pb  0.500  0.500  0.500 (multiplicity 1)



<B>
The following is a DFT calculation (PBE) of B3OsPb after structural relaxation.

The density of states at the Fermi level is 1.08 states/eV/atom. The value obtained for the total magnetic moment is 0.000 μB per formula unit. The crystal system is cubic.

a = 4.395 Å, b = 4.395 Å, c = 4.395 Å
α = 90.00°, β = 90.00°, γ = 90.00°
Space group Pm-3m (No. 221)
Inequivalent atoms, fractional coordinates:
B  0.000  0.000  0.500 (multiplicity 3)
Os  0.500  0.500  0.500 (multiplicity 1)
Pb  0.000  0.000  0.000 (multiplicity 1)



Top of the stability list: <A>, leading by 2410 meV per atom.



<A>
The following is a DFT calculation (PBE) of Si2BOsPb after structural relaxation.

The density of states at the Fermi level is 0.40 states/eV/atom. The value obtained for the total magnetic moment is 0.000 μB per formula unit. The crystal system is tetragonal.

a = 4.414 Å, b = 4.414 Å, c = 4.225 Å
α = 90.00°, β = 90.00°, γ = 90.00°
Space group P4/mmm (No. 123)
Inequivalent atoms, fractional coordinates:
Si  0.000  0.500  0.000 (multiplicity 2)
B  0.000  0.000  0.000 (multiplicity 1)
Os  0.000  0.000  0.500 (multiplicity 1)
Pb  0.500  0.500  0.500 (multiplicity 1)



<B>
The following is a DFT calculation (PBE) of Si2BOsPb after structural relaxation.

The density of states at the Fermi level is 1.10 states/eV/atom. The value obtained for the total magnetic moment is 1.356 μB per formula unit. The crystal system is tetragonal.

a = 5.231 Å, b = 5.231 Å, c = 5.131 Å
α = 90.00°, β = 90.00°, γ = 90.00°
Space group P4/mmm (No. 123)
Inequivalent atoms, fractional coordinates:
Si  0.000  0.500  0.000 (multiplicity 2)
B  0.000  0.000  0.500 (multiplicity 1)
Os  0.500  0.500  0.500 (multiplicity 1)
Pb  0.500  0.500  0.000 (multiplicity 1)



Top of the stability list: <A>, leading by 2120 meV per atom.



<A>
The following is a DFT calculation (PBE) of BOsPd3 after structural relaxation.

The density of states at the Fermi level is 1.07 states/eV/atom. The value obtained for the total magnetic moment is 0.000 μB per formula unit. The crystal system is cubic.

a = 4.817 Å, b = 4.817 Å, c = 4.817 Å
α = 90.00°, β = 90.00°, γ = 90.00°
Space group Pm-3m (No. 221)
Inequivalent atoms, fractional coordinates:
B  0.000  0.000  0.000 (multiplicity 1)
Os  0.500  0.500  0.500 (multiplicity 1)
Pd  0.000  0.500  0.500 (multiplicity 3)



<B>
The following is a DFT calculation (PBE) of BOsPd3 after structural relaxation.

The density of states at the Fermi level is 1.16 states/eV/atom. The value obtained for the total magnetic moment is 0.000 μB per formula unit. The crystal system is cubic.

a = 4.137 Å, b = 4.137 Å, c = 4.137 Å
α = 90.00°, β = 90.00°, γ = 90.00°
Space group Pm-3m (No. 221)
Inequivalent atoms, fractional coordinates:
B  0.000  0.000  0.000 (multiplicity 1)
Os  0.500  0.500  0.500 (multiplicity 1)
Pd  0.000  0.000  0.500 (multiplicity 3)



Top of the stability list: <B>, leading by 1539 meV per atom.